# GGA-PBE LaSm2In3AgPd2, relaxed
data_LaSm2In3AgPd2
_space_group_name_H-M_alt 'P 1'
_space_group_IT_number 1
_space_group_name_Hall 'P 1'
_cell_length_a 4.0286
_cell_length_b 7.8418
_cell_length_c 7.8418
_cell_angle_alpha 119.78
_cell_angle_beta 90.00
_cell_angle_gamma 90.00
loop_
_atom_site_label
_atom_site_type_symbol
_atom_site_fract_x
_atom_site_fract_y
_atom_site_fract_z
_atom_site_occupancy
La1 La 0.0000 0.0000 0.0000 1
Sm1 Sm 0.0000 0.4156 0.8280 1
Sm2 Sm 0.0000 0.8280 0.4156 1
In1 In 0.5000 0.1552 0.4188 1
In2 In 0.5000 0.4188 0.1552 1
In3 In 0.5000 0.6707 0.6707 1
Ag1 Ag 0.0000 0.4144 0.4144 1
Pd1 Pd 0.5000 0.0819 0.7498 1
Pd2 Pd 0.5000 0.7498 0.0819 1
# Space group: No. 38
# Calculated total energy, eV per cell: -41.929
# Volume, A^3/atom: 23.89
# Total moment, μB per cell: 0.003